Entry 1:
Density functional theory data (meta-GGA SCAN) for a PBEsol-optimized structure of LiAl3Cd. Values from VASP.

The structure in Quantum ESPRESSO input format:
```
&SYSTEM
  ibrav = 0, nat = 5, ntyp = 3
/
ATOMIC_SPECIES
Cd 112.41 Cd.upf
Li 6.94 Li.upf
Al 26.98 Al.upf
ATOMIC_POSITIONS crystal
Cd 0.500 0.500 0.500
Li 0.000 0.000 0.000
Al 0.000 0.000 0.500
Al 0.500 0.000 0.000
Al 0.000 0.500 0.000
CELL_PARAMETERS angstrom
-2.723 3.492 -1.109
-0.336 -1.614 -4.257
-3.648 -2.457 1.219
```

DOS(E_F) = 0.2956 states/eV/atom

=====

Entry 2:
Density functional theory data (meta-GGA SCAN) for a PBEsol-optimized structure of LiAlCd2. Values from VASP.

The structure in Quantum ESPRESSO input format:
```
&SYSTEM
  ibrav = 0, nat = 4, ntyp = 3
/
ATOMIC_SPECIES
Cd 112.41 Cd.upf
Li 6.94 Li.upf
Al 26.98 Al.upf
ATOMIC_POSITIONS crystal
Cd 0.000 0.000 0.243
Cd 0.000 0.000 0.757
Li 0.500 0.500 0.000
Al 0.500 0.500 0.500
CELL_PARAMETERS angstrom
-1.421 2.553 -0.076
-1.502 -0.765 2.388
6.166 3.582 5.026
```

DOS(E_F) = 0.2426 states/eV/atom

=====

Entry 3:
Density functional theory data (meta-GGA SCAN) for a PBEsol-optimized structure of Mg2AlCd. Values from VASP.

The structure in Quantum ESPRESSO input format:
```
&SYSTEM
  ibrav = 0, nat = 4, ntyp = 3
/
ATOMIC_SPECIES
Mg 24.30 Mg.upf
Al 26.98 Al.upf
Cd 112.41 Cd.upf
ATOMIC_POSITIONS crystal
Mg 0.047 0.000 0.962
Mg 0.704 0.500 0.289
Al 0.301 0.000 0.481
Cd 0.448 0.500 0.768
CELL_PARAMETERS angstrom
3.169 0.000 -0.238
0.000 4.574 0.000
-1.232 0.000 5.690
```

Polymorph energy (0 for the lowest one) = 0.01 eV per formula unit
DOS(E_F) = 0.3369 states/eV/atom

=====

Entry 4:
Density functional theory data (meta-GGA SCAN) for a PBEsol-optimized structure of Mg2AlCd. Values from VASP.

The structure in Quantum ESPRESSO input format:
```
&SYSTEM
  ibrav = 0, nat = 4, ntyp = 3
/
ATOMIC_SPECIES
Mg 24.30 Mg.upf
Al 26.98 Al.upf
Cd 112.41 Cd.upf
ATOMIC_POSITIONS crystal
Mg 0.750 0.750 0.750
Mg 0.000 0.000 0.000
Al 0.500 0.500 0.500
Cd 0.250 0.250 0.250
CELL_PARAMETERS angstrom
4.847 0.000 0.000
2.424 4.198 0.000
2.424 1.399 3.958
```

Polymorph energy (0 for the lowest one) = 0.35 eV per formula unit
DOS(E_F) = 0.3481 states/eV/atom

=====

Entry 5:
Density functional theory data (meta-GGA SCAN) for a PBEsol-optimized structure of MgAl4Cd. Values from VASP.

The structure in Quantum ESPRESSO input format:
```
&SYSTEM
  ibrav = 0, nat = 6, ntyp = 3
/
ATOMIC_SPECIES
Al 26.98 Al.upf
Mg 24.30 Mg.upf
Cd 112.41 Cd.upf
ATOMIC_POSITIONS crystal
Al 0.375 0.375 0.375
Al 0.375 0.375 0.876
Al 0.876 0.375 0.375
Al 0.375 0.876 0.375
Mg 0.000 0.000 0.000
Cd 0.750 0.750 0.750
CELL_PARAMETERS angstrom
5.425 0.000 0.000
2.713 4.698 0.000
2.713 1.566 4.430
```

DOS(E_F) = 0.4649 states/eV/atom

=====

Entry 6:
Density functional theory data (meta-GGA SCAN) for a PBEsol-optimized structure of Mg2AlCd. Values from VASP.

The structure in Quantum ESPRESSO input format:
```
&SYSTEM
  ibrav = 0, nat = 4, ntyp = 3
/
ATOMIC_SPECIES
Mg 24.30 Mg.upf
Cd 112.41 Cd.upf
Al 26.98 Al.upf
ATOMIC_POSITIONS crystal
Mg 0.000 0.000 0.500
Mg 0.000 0.500 0.000
Cd 0.500 0.500 0.500
Al 0.500 0.000 0.000
CELL_PARAMETERS angstrom
2.994 0.000 0.000
0.000 5.301 -0.014
0.000 -1.695 5.022
```

Polymorph energy (0 for the lowest one) = 0.01 eV per formula unit
DOS(E_F) = 0.3462 states/eV/atom

=====

Entry 7:
Density functional theory data (meta-GGA SCAN) for a PBEsol-optimized structure of Mg2AlCd. Values from VASP.

The structure in Quantum ESPRESSO input format:
```
&SYSTEM
  ibrav = 0, nat = 4, ntyp = 3
/
ATOMIC_SPECIES
Mg 24.30 Mg.upf
Al 26.98 Al.upf
Cd 112.41 Cd.upf
ATOMIC_POSITIONS crystal
Mg 0.750 0.250 0.500
Mg 0.250 0.750 0.500
Al 0.500 0.500 0.000
Cd 0.000 0.000 0.000
CELL_PARAMETERS angstrom
4.344 0.000 0.000
0.000 4.344 0.000
-2.172 -2.172 4.229
```

Polymorph energy (0 for the lowest one) = 0.02 eV per formula unit
DOS(E_F) = 0.3837 states/eV/atom

=====

Entry 8:
Density functional theory data (meta-GGA SCAN) for a PBEsol-optimized structure of Mg2AlCd. Values from VASP.

The structure in Quantum ESPRESSO input format:
```
&SYSTEM
  ibrav = 0, nat = 4, ntyp = 3
/
ATOMIC_SPECIES
Al 26.98 Al.upf
Mg 24.30 Mg.upf
Cd 112.41 Cd.upf
ATOMIC_POSITIONS crystal
Al 0.504 0.489 0.008
Mg 0.755 0.265 0.510
Mg 0.996 0.989 0.992
Cd 0.245 0.757 0.490
CELL_PARAMETERS angstrom
3.091 0.000 0.000
0.000 5.226 -0.020
-1.545 -0.890 4.984
```

Polymorph energy (0 for the lowest one) = 0.11 eV per formula unit
DOS(E_F) = 0.3443 states/eV/atom

=====

Entry 9:
Density functional theory data (meta-GGA SCAN) for a PBEsol-optimized structure of Mg2AlCd. Values from VASP.

The structure in Quantum ESPRESSO input format:
```
&SYSTEM
  ibrav = 0, nat = 4, ntyp = 3
/
ATOMIC_SPECIES
Al 26.98 Al.upf
Mg 24.30 Mg.upf
Cd 112.41 Cd.upf
ATOMIC_POSITIONS crystal
Al 0.500 0.500 0.500
Mg 0.000 0.500 0.000
Mg 0.000 0.000 0.500
Cd 0.500 0.000 0.000
CELL_PARAMETERS angstrom
4.245 0.000 0.000
0.000 4.334 0.000
0.000 0.000 4.334
```

Polymorph energy (0 for the lowest one) = 0.02 eV per formula unit
DOS(E_F) = 0.3885 states/eV/atom

=====

Entry 10:
Density functional theory data (meta-GGA SCAN) for a PBEsol-optimized structure of Mg2AlCd. Values from VASP.

The structure in Quantum ESPRESSO input format:
```
&SYSTEM
  ibrav = 0, nat = 4, ntyp = 3
/
ATOMIC_SPECIES
Mg 24.30 Mg.upf
Cd 112.41 Cd.upf
Al 26.98 Al.upf
ATOMIC_POSITIONS crystal
Mg 0.750 0.750 0.750
Mg 0.250 0.250 0.250
Cd 0.500 0.500 0.500
Al 0.000 0.000 0.000
CELL_PARAMETERS angstrom
4.841 0.000 0.000
2.421 4.193 0.000
2.421 1.398 3.953
```

Polymorph energy (0 for the lowest one) = 0.13 eV per formula unit
DOS(E_F) = 0.2943 states/eV/atom

=====

Entry 11:
Density functional theory data (meta-GGA SCAN) for a PBEsol-optimized structure of Mg2AlCd. Values from VASP.

The structure in Quantum ESPRESSO input format:
```
&SYSTEM
  ibrav = 0, nat = 4, ntyp = 3
/
ATOMIC_SPECIES
Al 26.98 Al.upf
Mg 24.30 Mg.upf
Cd 112.41 Cd.upf
ATOMIC_POSITIONS crystal
Al 0.500 0.500 0.000
Mg 0.500 0.000 0.500
Mg 0.000 0.000 0.000
Cd 0.000 0.500 0.500
CELL_PARAMETERS angstrom
3.066 0.000 0.000
0.000 5.215 0.027
0.000 -1.952 5.069
```

Polymorph energy (0 for the lowest one) = 0.21 eV per formula unit
DOS(E_F) = 0.3488 states/eV/atom

=====

Entry 12:
Density functional theory data (meta-GGA SCAN) for a PBEsol-optimized structure of Mg2AlCd. Values from VASP.

The structure in Quantum ESPRESSO input format:
```
&SYSTEM
  ibrav = 0, nat = 4, ntyp = 3
/
ATOMIC_SPECIES
Al 26.98 Al.upf
Mg 24.30 Mg.upf
Cd 112.41 Cd.upf
ATOMIC_POSITIONS crystal
Al 0.500 0.500 0.000
Mg 0.000 0.000 0.000
Mg 0.750 0.250 0.500
Cd 0.250 0.750 0.500
CELL_PARAMETERS angstrom
4.327 0.000 0.000
0.000 4.327 0.000
-2.164 -2.164 4.296
```

Polymorph energy (0 for the lowest one) = 0.13 eV per formula unit
DOS(E_F) = 0.3529 states/eV/atom

=====

Entry 13:
Density functional theory data (meta-GGA SCAN) for a PBEsol-optimized structure of Mg2AlCd. Values from VASP.

The structure in Quantum ESPRESSO input format:
```
&SYSTEM
  ibrav = 0, nat = 4, ntyp = 3
/
ATOMIC_SPECIES
Mg 24.30 Mg.upf
Al 26.98 Al.upf
Cd 112.41 Cd.upf
ATOMIC_POSITIONS crystal
Mg 0.248 0.496 0.245
Mg 0.752 0.504 0.755
Al 0.500 0.000 0.000
Cd 0.000 0.000 0.500
CELL_PARAMETERS angstrom
-0.164 2.579 1.731
-2.709 -3.643 2.378
4.992 -1.002 1.967
```

Polymorph energy (0 for the lowest one) = 0.19 eV per formula unit
DOS(E_F) = 0.3377 states/eV/atom

=====

Entry 14:
Density functional theory data (meta-GGA SCAN) for a PBEsol-optimized structure of Mg16Al12Cd. Values from VASP.

The structure in Quantum ESPRESSO input format:
```
&SYSTEM
  ibrav = 0, nat = 29, ntyp = 3
/
ATOMIC_SPECIES
Mg 24.30 Mg.upf
Al 26.98 Al.upf
Cd 112.41 Cd.upf
ATOMIC_POSITIONS crystal
Mg 0.401 0.715 0.400
Mg 0.681 0.289 0.684
Mg 0.715 0.401 0.400
Mg 0.599 0.321 0.999
Mg 0.289 0.681 0.684
Mg 0.998 0.348 0.997
Mg 0.315 0.998 0.601
Mg 0.999 0.999 0.999
Mg 0.001 0.601 0.317
Mg 0.000 0.000 0.343
Mg 0.321 0.599 0.999
Mg 0.601 0.001 0.317
Mg 0.649 0.649 0.660
Mg 0.348 0.998 0.997
Mg 0.687 0.687 0.289
Mg 0.998 0.315 0.601
Al 0.368 0.368 0.180
Al 0.368 0.181 0.364
Al 0.184 0.184 0.819
Al 0.181 0.368 0.364
Al 0.000 0.814 0.634
Al 0.636 0.819 0.005
Al 0.632 0.002 0.816
Al 0.819 0.189 0.187
Al 0.189 0.819 0.187
Al 0.814 0.000 0.634
Al 0.002 0.632 0.816
Al 0.819 0.636 0.005
Cd 0.385 0.385 0.704
CELL_PARAMETERS angstrom
9.028 -0.005 -0.004
-2.971 8.525 -0.004
-2.993 -4.210 7.425
```

Polymorph energy (0 for the lowest one) = 0.00 eV per formula unit
DOS(E_F) = 0.3587 states/eV/atom

=====

Number 1: total DFT energy (no corrections) -53.42 eV/cell. Number 2: total DFT energy (no corrections) -71.35 eV/cell. Number 3: total DFT energy (no corrections) -48.35 eV/cell. Number 4: total DFT energy (no corrections) -48.01 eV/cell. Number 5: total DFT energy (no corrections) -65.80 eV/cell. Number 6: total DFT energy (no corrections) -48.35 eV/cell. Number 7: total DFT energy (no corrections) -48.34 eV/cell. Number 8: total DFT energy (no corrections) -48.25 eV/cell. Number 9: total DFT energy (no corrections) -48.35 eV/cell. Number 10: total DFT energy (no corrections) -48.23 eV/cell. Number 11: total DFT energy (no corrections) -48.15 eV/cell. Number 12: total DFT energy (no corrections) -48.23 eV/cell. Number 13: total DFT energy (no corrections) -48.17 eV/cell. Number 14: total DFT energy (no corrections) -203.83 eV/cell.